# KCrCl2O PBE+U relaxed
data_KCrCl2O
_cell_length_a 5.267
_cell_length_b 5.267
_cell_length_c 3.710
_cell_angle_alpha 90.00
_cell_angle_beta 90.00
_cell_angle_gamma 90.00
_symmetry_space_group_name_H-M 'P 1'
_symmetry_Int_Tables_number 1
loop_
_symmetry_equiv_pos_as_xyz
'x,y,z'
loop_
_atom_site_label
_atom_site_fract_x
_atom_site_fract_y
_atom_site_fract_z
_atom_site_occupancy
Cl1 0.500 0.000 0.000 1
Cl2 0.000 0.500 0.000 1
Cr1 0.000 0.000 0.000 1
K1 0.500 0.500 0.500 1
O1 0.000 0.000 0.500 1
# Uncorrected energy ... -4.9297 eV per atom
# Magnetization ... 3.00 μB per cell
# SG ... P4/mmm (123)
# Mass density ... 2.9 g cm⁻³